# 1
Here is a relaxed LiOs2 crystal from the Alexandria database. Energies are from PBE.

For the formation energy, the calculation gives 417 meV per atom. Its density is 17.1 g cm⁻³. The distance to the lowest polymorph of the same formula comes out at 209 meV/atom. The raw total energy comes out at -7.71 eV/atom.

The structure belongs to space group I4/mcm (No. 140); the cell edges are 5.847, 5.847 and 4.391 Å and the angles 90.00°, 90.00° and 90.00°. Symmetry generates all atoms from Li at (0.000, 0.000, 0.250) and Os at (0.151, 0.349, 0.000).

***

# 2
Here is a relaxed LiOs2 crystal from the Alexandria database. Energies are from PBE.

For the formation energy, the calculation gives 230 meV per atom. Its density is 15.1 g cm⁻³. The distance to the lowest polymorph of the same formula comes out at 22 meV/atom. The raw total energy comes out at -7.89 eV/atom.

The structure belongs to space group Cm (No. 8); the cell edges are 10.248, 2.709 and 6.497 Å and the angles 90.00°, 108.76° and 90.00°. Symmetry generates all atoms from Li at (0.000, 0.000, 0.000), Li at (0.144, 0.500, 0.341), Os at (0.114, 0.500, 0.726), Os at (0.283, 0.000, 0.083), Os at (0.320, 0.000, 0.690) and Os at (0.417, 0.500, 0.435).

***

# 3
Here is a relaxed LiOs crystal from the Alexandria database. Energies are from PBE.

For the formation energy, the calculation gives 207 meV per atom. Its density is 11.5 g cm⁻³. The raw total energy comes out at -6.37 eV/atom.

The structure belongs to space group Cm (No. 8); the cell edges are 10.419, 2.655 and 6.351 Å and the angles 90.00°, 102.66° and 90.00°. Symmetry generates all atoms from Li at (0.000, 0.000, 0.000), Li at (0.042, 0.000, 0.642), Li at (0.138, 0.500, 0.348), Os at (0.243, 0.500, 0.977), Os at (0.309, 0.000, 0.667) and Os at (0.365, 0.000, 0.304).